Entry 1:
NaZrBi2 | GGA-PBE | relaxed

a b c (Å): 3.9790 3.9790 9.0668
angles (deg): 77.32 77.32 60.00
Positions (direct):
1 Zr 0.6666 0.6666 0.0002
2 Bi 0.2583 0.2583 0.2251
3 Bi 0.0750 0.0750 0.7751
4 Na 0.5001 0.5001 0.4996

Calculated values
- Calculated formation energy: -97 kJ/mol of formula units
- Space-group type: R3m

Entry 2:
NaZrBi | GGA-PBE | relaxed

a b c (Å): 4.7944 4.7944 9.1422
angles (deg): 74.80 74.80 60.00
Last column: magnetic moment on the atom in μB.
Positions (direct):
1 Zr 0.7013 0.7013 0.8961  0.69
2 Zr 0.2987 0.2987 0.1039  0.69
3 Bi 0.4162 0.4162 0.7515  -0.03
4 Bi 0.5838 0.5838 0.2485  -0.03
5 Na 0.1374 0.1374 0.5879  0.01
6 Na 0.8626 0.8626 0.4121  0.01

Calculated values
- Calculated formation energy: -19 kJ/mol of formula units
- Space-group type: R-3m

Entry 3:
Na2ZrBi2 | GGA-PBE | relaxed

a b c (Å): 8.7102 8.7102 3.5611
angles (deg): 90.00 90.00 90.00
Positions (direct):
1 Na 0.8799 0.3799 0.5000
2 Na 0.1201 0.6201 0.5000
3 Na 0.6201 0.8799 0.5000
4 Na 0.3799 0.1201 0.5000
5 Bi 0.3183 0.8183 0.0000
6 Bi 0.6817 0.1817 0.0000
7 Bi 0.8183 0.6817 0.0000
8 Bi 0.1817 0.3183 0.0000
9 Zr 0.0000 0.0000 0.0000
10 Zr 0.5000 0.5000 0.0000

Calculated values
- Calculated formation energy: -16 kJ/mol of formula units
- Space-group type: P4/mbm

Entry 4:
NaZrBi3 | GGA-PBE | relaxed

a b c (Å): 5.7276 5.7276 5.7276
angles (deg): 90.00 90.00 90.00
Positions (direct):
1 Bi 0.5000 0.0000 0.0000
2 Bi 0.0000 0.5000 0.0000
3 Bi 0.0000 0.0000 0.5000
4 Zr 0.0000 0.0000 0.0000
5 Na 0.5000 0.5000 0.5000

Calculated values
- Calculated formation energy: 13 kJ/mol of formula units
- Space-group type: Pm-3m

Entry 5:
NaZrBi2 | GGA-PBE | relaxed

a b c (Å): 3.4479 3.4479 9.2036
angles (deg): 90.00 90.00 90.00
Positions (direct):
1 Zr 0.5000 0.5000 0.0000
2 Bi 0.0000 0.0000 0.7683
3 Bi 0.0000 0.0000 0.2317
4 Na 0.5000 0.5000 0.5000

Calculated values
- Calculated formation energy: -111 kJ/mol of formula units
- Space-group type: P4/mmm

Entry 6:
NaZr2Bi | GGA-PBE | relaxed

a b c (Å): 8.3478 8.3478 6.6132
angles (deg): 50.87 50.87 90.00
Positions (direct):
1 Na 0.2500 0.7500 0.5000
2 Na 0.5000 0.5000 0.0000
3 Zr 0.6407 0.1250 0.2500
4 Zr 0.3750 0.3593 0.7500
5 Zr 0.1093 0.6250 0.2500
6 Zr 0.8750 0.8907 0.7500
7 Bi 0.0000 0.0000 0.0000
8 Bi 0.7500 0.2500 0.5000

Calculated values
- Calculated formation energy: 161 kJ/mol of formula units
- Space-group type: I-42d

Entry 7:
Na3ZrBi | GGA-PBE | relaxed

a b c (Å): 5.8484 5.8484 5.8484
angles (deg): 90.00 90.00 90.00
Last column: magnetic moment on the atom in μB.
Positions (direct):
1 Na 0.5000 0.0000 0.0000  0.06
2 Na 0.0000 0.5000 0.0000  0.05
3 Na 0.0000 0.0000 0.5000  0.04
4 Bi 0.5000 0.5000 0.5000  -0.28
5 Zr 0.0000 0.0000 0.0000  1.86

Calculated values
- Calculated formation energy: 559 kJ/mol of formula units
- Space-group type: Pm-3m

Entry 8:
Na3ZrBi | GGA-PBE | relaxed

a b c (Å): 5.8551 5.8551 5.8551
angles (deg): 90.00 90.00 90.00
Last column: magnetic moment on the atom in μB.
Positions (direct):
1 Bi 0.0000 0.0000 0.0000  -0.03
2 Na 0.0000 0.5000 0.0000  0.00
3 Na 0.5000 0.0000 0.0000  0.00
4 Na 0.0000 0.0000 0.5000  0.01
5 Zr 0.5000 0.5000 0.5000  1.62

Calculated values
- Calculated formation energy: 380 kJ/mol of formula units
- Space-group type: Pm-3m

Entry 9:
NaZrBi2 | GGA-PBE | relaxed

a b c (Å): 6.4959 6.4959 9.2915
angles (deg): 69.54 69.54 90.00
Positions (direct):
1 Na 0.5000 0.5000 0.0000
2 Na 0.2500 0.7500 0.5000
3 Zr 0.0000 0.0000 0.0000
4 Zr 0.7500 0.2500 0.5000
5 Bi 0.0550 0.6250 0.2500
6 Bi 0.3750 0.3050 0.7500
7 Bi 0.6950 0.1250 0.2500
8 Bi 0.8750 0.9450 0.7500

Calculated values
- Calculated formation energy: 75 kJ/mol of formula units
- Space-group type: I-42d

Entry 10:
NaZr3Bi | GGA-PBE | relaxed

a b c (Å): 5.5176 5.5176 5.5176
angles (deg): 90.00 90.00 90.00
Positions (direct):
1 Zr 0.0000 0.5000 0.0000
2 Zr 0.5000 0.0000 0.0000
3 Zr 0.0000 0.0000 0.5000
4 Na 0.5000 0.5000 0.5000
5 Bi 0.0000 0.0000 0.0000

Calculated values
- Calculated formation energy: 491 kJ/mol of formula units
- Space-group type: Pm-3m

Entry 11:
Na2ZrBi | GGA-PBE | relaxed

a b c (Å): 9.0154 9.0154 7.0229
angles (deg): 50.07 50.07 90.00
Last column: magnetic moment on the atom in μB.
Positions (direct):
1 Na 0.6480 0.1250 0.2500  0.01
2 Na 0.1020 0.6250 0.2500  0.01
3 Na 0.8750 0.8980 0.7500  0.01
4 Na 0.3750 0.3520 0.7500  0.01
5 Bi 0.0000 0.0000 0.0000  -0.06
6 Bi 0.7500 0.2500 0.5000  -0.06
7 Zr 0.5000 0.5000 0.0000  0.58
8 Zr 0.2500 0.7500 0.5000  0.59

Calculated values
- Calculated formation energy: 152 kJ/mol of formula units
- Space-group type: I-42d

Entry 12:
NaZrBi | GGA-PBE | relaxed

a b c (Å): 3.8495 3.8495 12.7088
angles (deg): 98.71 98.71 90.00
Positions (direct):
1 Bi 0.8432 0.8432 0.6864
2 Bi 0.1568 0.1568 0.3136
3 Na 0.5716 0.5716 0.1432
4 Na 0.4284 0.4284 0.8568
5 Zr 0.7169 0.7169 0.4339
6 Zr 0.2831 0.2831 0.5661

Calculated values
- Calculated formation energy: -92 kJ/mol of formula units
- Space-group type: I4/mmm

| no. | magnetic moment (Bohr magnetons per cell) |
| --- | --- |
| 1 | 0.0 |
| 2 | 2.2 |
| 3 | 0.0 |
| 4 | 0.0 |
| 5 | 0.0 |
| 6 | 0.0 |
| 7 | 3.0 |
| 8 | 2.9 |
| 9 | 0.0 |
| 10 | 0.0 |
| 11 | 2.0 |
| 12 | 0.0 |